Model A:
DFT (PBE) results for crystalline Mg4Be at its relaxed geometry.

```
data_Mg4Be
_chemical_formula_sum 'Mg8 Be2'
_symmetry_space_group_name_H-M 'I 4/m'
_symmetry_Int_Tables_number 87
_symmetry_space_group_name_Hall '-I 4'
_cell_length_a 6.901
_cell_length_b 6.901
_cell_length_c 4.124
_cell_angle_alpha 90.00
_cell_angle_beta 90.00
_cell_angle_gamma 90.00
loop_
_atom_site_label
_atom_site_type_symbol
_atom_site_fract_x
_atom_site_fract_y
_atom_site_fract_z
Mg1 Mg 0.099 0.710 0.000
Be1 Be 0.000 0.000 0.500
```


Model B:
DFT (PBE) results for crystalline Mg4Be at its relaxed geometry.

```
data_Mg4Be
_chemical_formula_sum 'Mg4 Be1'
_symmetry_space_group_name_H-M 'P m -3 m'
_symmetry_Int_Tables_number 221
_symmetry_space_group_name_Hall '-P 4 2 3'
_cell_length_a 4.808
_cell_length_b 4.808
_cell_length_c 4.808
_cell_angle_alpha 90.00
_cell_angle_beta 90.00
_cell_angle_gamma 90.00
loop_
_atom_site_label
_atom_site_type_symbol
_atom_site_fract_x
_atom_site_fract_y
_atom_site_fract_z
Mg1 Mg 0.000 0.000 0.000
Mg2 Mg 0.000 0.500 0.500
Be1 Be 0.500 0.500 0.500
```


Model C:
DFT (PBE) results for crystalline Mg4Be at its relaxed geometry.

```
data_Mg4Be
_chemical_formula_sum 'Mg8 Be2'
_symmetry_space_group_name_H-M 'I 4/m m m'
_symmetry_Int_Tables_number 139
_symmetry_space_group_name_Hall '-I 4 2'
_cell_length_a 3.812
_cell_length_b 3.812
_cell_length_c 15.558
_cell_angle_alpha 90.00
_cell_angle_beta 90.00
_cell_angle_gamma 90.00
loop_
_atom_site_label
_atom_site_type_symbol
_atom_site_fract_x
_atom_site_fract_y
_atom_site_fract_z
Mg1 Mg 0.000 0.000 0.090
Mg2 Mg 0.000 0.500 0.250
Be1 Be 0.000 0.000 0.500
```


Stability check: which of them is least stable? model C.


Model A:
DFT (PBE) results for crystalline Mg3Be4 at its relaxed geometry.

```
data_Mg3Be4
_chemical_formula_sum 'Mg6 Be8'
_symmetry_space_group_name_H-M 'I 4/m m m'
_symmetry_Int_Tables_number 139
_symmetry_space_group_name_Hall '-I 4 2'
_cell_length_a 2.822
_cell_length_b 2.822
_cell_length_c 23.959
_cell_angle_alpha 90.00
_cell_angle_beta 90.00
_cell_angle_gamma 90.00
loop_
_atom_site_label
_atom_site_type_symbol
_atom_site_fract_x
_atom_site_fract_y
_atom_site_fract_z
Mg1 Mg 0.000 0.000 0.000
Mg2 Mg 0.000 0.000 0.304
Be1 Be 0.000 0.000 0.118
Be2 Be 0.000 0.000 0.422
```


Model B:
DFT (PBE) results for crystalline Mg3Be4 at its relaxed geometry.

```
data_Mg3Be4
_chemical_formula_sum 'Mg3 Be4'
_symmetry_space_group_name_H-M 'P 6/m m m'
_symmetry_Int_Tables_number 191
_symmetry_space_group_name_Hall '-P 6 2'
_cell_length_a 5.3951
_cell_length_b 5.3951
_cell_length_c 4.3760
_cell_angle_alpha 90.00
_cell_angle_beta 90.00
_cell_angle_gamma 120.00
loop_
_atom_site_label
_atom_site_type_symbol
_atom_site_fract_x
_atom_site_fract_y
_atom_site_fract_z
Mg1 Mg 0.0000 0.5000 0.0000
Be1 Be 0.0000 0.0000 0.2490
Be2 Be 0.3333 0.6667 0.5000
```


Stability check: which of them is least stable? model B.


Model A:
DFT (PBE) results for crystalline Mg3Be2 at its relaxed geometry.

```
data_Mg3Be2
_chemical_formula_sum 'Mg24 Be16'
_symmetry_space_group_name_H-M 'F d d 2'
_symmetry_Int_Tables_number 43
_symmetry_space_group_name_Hall 'F 2 -2d'
_cell_length_a 11.852
_cell_length_b 19.479
_cell_length_c 2.863
_cell_angle_alpha 90.00
_cell_angle_beta 90.00
_cell_angle_gamma 90.00
loop_
_atom_site_label
_atom_site_type_symbol
_atom_site_fract_x
_atom_site_fract_y
_atom_site_fract_z
Mg1 Mg 0.000 0.000 0.000
Mg2 Mg 0.086 0.141 0.724
Be1 Be 0.056 0.278 0.696
```


Model B:
DFT (PBE) results for crystalline Mg3Be2 at its relaxed geometry.

```
data_Mg3Be2
_chemical_formula_sum 'Mg9 Be6'
_symmetry_space_group_name_H-M 'R -3 m'
_symmetry_Int_Tables_number 166
_symmetry_space_group_name_Hall '-R 3 2"'
_cell_length_a 3.0191
_cell_length_b 3.0191
_cell_length_c 32.7328
_cell_angle_alpha 90.00
_cell_angle_beta 90.00
_cell_angle_gamma 120.00
loop_
_atom_site_label
_atom_site_type_symbol
_atom_site_fract_x
_atom_site_fract_y
_atom_site_fract_z
Mg1 Mg 0.0000 0.0000 0.0000
Mg2 Mg 0.0000 0.0000 0.2082
Be1 Be 0.0000 0.0000 0.3965
```


Model C:
DFT (PBE) results for crystalline Mg3Be2 at its relaxed geometry.

```
data_Mg3Be2
_chemical_formula_sum 'Mg3 Be2'
_symmetry_space_group_name_H-M 'P -3 m 1'
_symmetry_Int_Tables_number 164
_symmetry_space_group_name_Hall '-P 3 2"'
_cell_length_a 4.3082
_cell_length_b 4.3082
_cell_length_c 5.3100
_cell_angle_alpha 90.00
_cell_angle_beta 90.00
_cell_angle_gamma 120.00
loop_
_atom_site_label
_atom_site_type_symbol
_atom_site_fract_x
_atom_site_fract_y
_atom_site_fract_z
Mg1 Mg 0.0000 0.0000 0.0000
Mg2 Mg 0.3333 0.6667 0.3551
Be1 Be 0.3333 0.6667 0.8815
```


Stability check: which of them is least stable? model B.


Model A:
DFT (PBE) results for crystalline MgMn2Be at its relaxed geometry.

```
data_MgMn2Be
_chemical_formula_sum 'Mg3 Mn6 Be3'
_symmetry_space_group_name_H-M 'R -3 m'
_symmetry_Int_Tables_number 166
_symmetry_space_group_name_Hall '-R 3 2"'
_cell_length_a 2.7647
_cell_length_b 2.7647
_cell_length_c 24.7951
_cell_angle_alpha 90.00
_cell_angle_beta 90.00
_cell_angle_gamma 120.00
loop_
_atom_site_label
_atom_site_type_symbol
_atom_site_fract_x
_atom_site_fract_y
_atom_site_fract_z
Mg1 Mg 0.0000 0.0000 0.0000
Mn1 Mn 0.0000 0.0000 0.2367
Be1 Be 0.0000 0.0000 0.5000
```


Model B:
DFT (PBE) results for crystalline MgMn2Be at its relaxed geometry.

```
data_MgMn2Be
_chemical_formula_sum 'Mg2 Mn4 Be2'
_symmetry_space_group_name_H-M 'I -4 m 2'
_symmetry_Int_Tables_number 119
_symmetry_space_group_name_Hall 'I -4 -2'
_cell_length_a 3.712
_cell_length_b 3.712
_cell_length_c 7.715
_cell_angle_alpha 90.00
_cell_angle_beta 90.00
_cell_angle_gamma 90.00
loop_
_atom_site_label
_atom_site_type_symbol
_atom_site_fract_x
_atom_site_fract_y
_atom_site_fract_z
Mg1 Mg 0.000 0.000 0.000
Mn1 Mn 0.000 0.000 0.500
Mn2 Mn 0.000 0.500 0.750
Be1 Be 0.000 0.500 0.250
```


Stability check: which of them is least stable? model B.